Record 1
Below is crystalline Ca3TiTc at its relaxed geometry, with properties calculated at the PBE-GGA level.

Lattice parameters (Å, degrees): 5.4491 5.4491 5.4491 90.00 90.00 90.00
Last column: nearest neighbours and their distance in Å.
Positions (direct):
Ca 0.0000 0.0000 0.5000  2 Ti 2.72
Ca 0.0000 0.5000 0.0000  2 Ti 2.72
Ca 0.5000 0.0000 0.0000  2 Ti 2.72
Ti 0.0000 0.0000 0.0000  6 Ca 2.72
Tc 0.5000 0.5000 0.5000  12 Ca 3.85

Results
- Magnetization: 4.91 Bohr magnetons per cell
- Offset from the most stable computed form: 560 meV/atom
- Energy relative to the elements: 1.534 eV/atom
- Space group: No. 221

***

Record 2
Below is crystalline MgNbH at its relaxed geometry, with properties calculated at the PBE-GGA level.

Lattice parameters (Å, degrees): 2.9739 4.8767 5.8255 92.14 97.62 90.04
Last column: nearest neighbours and their distance in Å.
Positions (direct):
Mg 0.0000 0.0000 0.0000  1 H 1.98
Mg 0.1514 0.4957 0.7151  1 H 2.11
Nb 0.5000 0.9843 0.4611  4 H 1.92-1.95
Nb 0.6709 0.5098 0.2167  1 H 1.91
H 0.0493 0.9194 0.6688  2 Nb 1.93-1.95, 2 Mg 1.98-2.11
H 0.9718 0.2069 0.3661  3 Nb 1.91-1.94

Results
- Magnetization: 0.00 Bohr magnetons per cell
- Offset from the most stable computed form: 107 meV/atom
- Space group: No. 1

***

Record 3
Below is crystalline Fe2BiSe2 at its relaxed geometry, with properties calculated at the PBE-GGA level.

Lattice parameters (Å, degrees): 7.4895 7.4895 3.1040 90.00 90.00 90.00
Last column: nearest neighbours and their distance in Å.
Positions (direct):
Fe 0.1203 0.3797 0.0000  4 Se 2.46, 1 Fe 2.55
Fe 0.3797 0.8797 0.0000  4 Se 2.46, 1 Fe 2.55
Fe 0.6203 0.1203 0.0000  4 Se 2.46, 1 Fe 2.55
Fe 0.8797 0.6203 0.0000  4 Se 2.46, 1 Fe 2.55
Bi 0.0000 0.0000 0.0000  4 Fe 2.98, 2 Bi 3.10, 8 Se 3.30
Bi 0.5000 0.5000 0.0000  4 Fe 2.98, 2 Bi 3.10, 8 Se 3.30
Se 0.1347 0.6347 0.5000  4 Fe 2.46
Se 0.3653 0.1347 0.5000  4 Fe 2.46
Se 0.6347 0.8653 0.5000  4 Fe 2.46
Se 0.8653 0.3653 0.5000  4 Fe 2.46

Results
- Magnetization: 0.00 Bohr magnetons per cell
- Uncorrected formation energy: 0.34 eV per atom
- Space group: No. 127

***

Record 4
Below is crystalline Pm2ZrGa3Pt4 at its relaxed geometry, with properties calculated at the PBE-GGA level.

Lattice parameters (Å, degrees): 4.1768 4.1768 11.4072 90.00 90.00 90.00
Last column: nearest neighbours and their distance in Å.
Positions (direct):
Pm 0.0000 0.5000 0.2350  4 Ga 3.19, 8 Pt 3.23-3.40
Pm 0.5000 0.0000 0.7650  4 Ga 3.19, 8 Pt 3.23-3.40
Zr 0.0000 0.0000 0.5000  4 Pt 2.71, 4 Ga 2.95
Ga 0.0000 0.5000 0.8708  5 Pt 2.50-2.56
Ga 0.5000 0.0000 0.1292  5 Pt 2.50-2.56
Ga 0.5000 0.5000 0.5000  4 Pt 2.71, 4 Zr 2.95
Pt 0.0000 0.0000 0.0000  4 Ga 2.56
Pt 0.0000 0.5000 0.6513  3 Ga 2.50-2.71, 2 Zr 2.71
Pt 0.5000 0.0000 0.3487  3 Ga 2.50-2.71, 2 Zr 2.71
Pt 0.5000 0.5000 0.0000  4 Ga 2.56

Results
- Magnetization: 0.00 Bohr magnetons per cell
- Energy relative to the elements: -0.975 eV/atom
- Space group: No. 115

***

Record 5
Below is crystalline Li4CeIn5 at its relaxed geometry, with properties calculated at the PBE-GGA level.

Lattice parameters (Å, degrees): 3.4926 3.4926 17.4069 90.00 90.00 90.00
Last column: nearest neighbours and their distance in Å.
Positions (direct):
Li 0.0000 0.0000 0.0924  8 In 2.95, 2 Li 3.22
Li 0.0000 0.0000 0.2773  8 In 2.94, 1 Li 3.22
Li 0.0000 0.0000 0.7227  8 In 2.94, 1 Li 3.22
Li 0.0000 0.0000 0.9076  8 In 2.95, 2 Li 3.22
Ce 0.0000 0.0000 0.5000  8 In 3.36, 4 Ce 3.49
In 0.5000 0.5000 0.0000  8 Li 2.95, 2 In 3.23
In 0.5000 0.5000 0.1853  8 Li 2.94-2.95, 2 In 3.20-3.23
In 0.5000 0.5000 0.3693  4 Li 2.94, 1 In 3.20
In 0.5000 0.5000 0.6307  4 Li 2.94, 1 In 3.20
In 0.5000 0.5000 0.8146  8 Li 2.94-2.95, 2 In 3.20-3.23

Results
- Magnetization: 1.26 Bohr magnetons per cell
- Energy relative to the elements: -0.296 eV/atom
- Space group: No. 123

***

Record 6
Below is crystalline AcPrH6Pt2 at its relaxed geometry, with properties calculated at the PBE-GGA level.

Lattice parameters (Å, degrees): 6.5429 6.5429 7.4360 111.88 111.88 91.35
Last column: nearest neighbours and their distance in Å.
Positions (direct):
Ac 0.1266 0.8734 0.7500  8 H 2.66-2.81
Ac 0.8734 0.1266 0.2500  8 H 2.66-2.81
Pr 0.3679 0.6321 0.2500  10 H 2.48-2.68
Pr 0.6321 0.3679 0.7500  10 H 2.48-2.68
H 0.0210 0.5701 0.8874  1 Pt 1.65
H 0.1753 0.2219 0.1032  1 Pt 1.67
H 0.2219 0.1753 0.6032  1 Pt 1.67
H 0.3806 0.5856 0.9011  1 Pt 1.77
H 0.4144 0.6194 0.5989  1 Pt 1.77
H 0.4299 0.9790 0.6126  1 Pt 1.65
H 0.5701 0.0210 0.3874  1 Pt 1.65
H 0.5856 0.3806 0.4011  1 Pt 1.77
H 0.6194 0.4144 0.0989  1 Pt 1.77
H 0.7781 0.8247 0.3968  1 Pt 1.67
H 0.8247 0.7781 0.8968  1 Pt 1.67
H 0.9790 0.4299 0.1126  1 Pt 1.65
Pt 0.1308 0.3815 0.7495  3 H 1.65-1.77
Pt 0.3815 0.1308 0.2495  3 H 1.65-1.77
Pt 0.6185 0.8692 0.7505  3 H 1.65-1.77
Pt 0.8692 0.6185 0.2505  3 H 1.65-1.77

Results
- Magnetization: 0.00 Bohr magnetons per cell
- Total energy: -4.66 eV per atom
- Space group: No. 15

***

Record 7
Below is crystalline YTh2In at its relaxed geometry, with properties calculated at the PBE-GGA level.

Lattice parameters (Å, degrees): 4.8205 4.8205 5.1108 90.00 90.00 90.00
Last column: nearest neighbours and their distance in Å.
Positions (direct):
Y 0.0000 0.0000 0.0000  4 In 3.41, 8 Th 3.51
Th 0.0000 0.5000 0.5000  4 Th 3.41, 4 In 3.51, 4 Y 3.51
Th 0.5000 0.0000 0.5000  4 Th 3.41, 4 In 3.51, 4 Y 3.51
In 0.5000 0.5000 0.0000  4 Y 3.41, 8 Th 3.51

Results
- Magnetization: 0.00 Bohr magnetons per cell
- Offset from the most stable computed form: 0 meV/atom
- Energy relative to the elements: -0.193 eV/atom
- Space group: No. 123

***

Record 8
Below is crystalline Tb2PrBe at its relaxed geometry, with properties calculated at the PBE-GGA level.

Lattice parameters (Å, degrees): 11.6896 11.6896 11.6896 17.24 17.24 17.24
Last column: nearest neighbours and their distance in Å.
Positions (direct):
Tb 0.0833 0.0833 0.0833  1 Be 2.88
Tb 0.9167 0.9167 0.9167  1 Be 2.88
Pr 0.5000 0.5000 0.5000  6 Pr 3.50, 6 Tb 3.52
Be 0.0000 0.0000 0.0000  2 Tb 2.88

Results
- Magnetization: 0.00 Bohr magnetons per cell
- Offset from the most stable computed form: 641 meV/atom
- Energy relative to the elements: 0.715 eV/atom
- Space group: No. 166

***

Record 9
Below is crystalline LaPmCd at its relaxed geometry, with properties calculated at the PBE-GGA level.

Lattice parameters (Å, degrees): 5.3715 5.3715 3.6347 90.00 90.00 120.00
Last column: nearest neighbours and their distance in Å.
Positions (direct):
La 0.0000 0.0000 0.0000  3 Cd 3.34, 3 Pm 3.40, 2 La 3.63
Pm 0.6667 0.3333 0.6163  3 Cd 3.26, 3 La 3.40, 2 Pm 3.63
Cd 0.3333 0.6667 0.3429  3 Pm 3.26, 3 La 3.34, 2 Cd 3.63

Results
- Magnetization: 0.00 Bohr magnetons per cell
- Offset from the most stable computed form: 95 meV/atom
- Energy relative to the elements: -0.108 eV/atom
- Space group: No. 156

***

Record 10
Below is crystalline LiDySi2Pt4 at its relaxed geometry, with properties calculated at the PBE-GGA level.

Lattice parameters (Å, degrees): 8.8547 8.8547 8.8547 27.15 27.15 27.15
Last column: nearest neighbours and their distance in Å.
Positions (direct):
Li 0.0000 0.0000 0.0000  8 Pt 2.44-2.53
Dy 0.5000 0.5000 0.5000  6 Pt 3.01
Si 0.2612 0.2612 0.2612  7 Pt 2.47-2.65
Si 0.7388 0.7388 0.7388  7 Pt 2.47-2.65
Pt 0.0953 0.0953 0.0953  1 Li 2.44, 3 Si 2.47
Pt 0.3649 0.3649 0.3649  3 Li 2.53, 4 Si 2.61-2.65
Pt 0.6351 0.6351 0.6351  3 Li 2.53, 4 Si 2.61-2.65
Pt 0.9047 0.9047 0.9047  1 Li 2.44, 3 Si 2.47

Results
- Magnetization: 0.00 Bohr magnetons per cell
- Uncorrected formation energy: -0.91 eV per atom
- Space group: No. 166

***

Record 11
Below is crystalline Rb2CuP2S6 at its relaxed geometry, with properties calculated at the PBE-GGA level.

Lattice parameters (Å, degrees): 7.8413 7.8413 7.8413 51.68 51.68 51.68
Last column: nearest neighbours and their distance in Å.
Positions (direct):
Rb 0.2334 0.2334 0.2334  9 S 3.44-3.66
Rb 0.7666 0.7666 0.7666  9 S 3.44-3.66
Cu 0.0000 0.0000 0.0000  6 S 2.55
P 0.4272 0.4272 0.4272  3 S 2.01
P 0.5728 0.5728 0.5728  3 S 2.01
S 0.2458 0.2458 0.7514  1 P 2.01
S 0.2458 0.7514 0.2458  1 P 2.01
S 0.2486 0.7542 0.7542  1 P 2.01
S 0.7514 0.2458 0.2458  1 P 2.01
S 0.7542 0.2486 0.7542  1 P 2.01
S 0.7542 0.7542 0.2486  1 P 2.01

Results
- Magnetization: 0.00 Bohr magnetons per cell
- Uncorrected formation energy: -0.49 eV per atom
- Space group: No. 166

***

Record 12
Below is crystalline ScCrPt4 at its relaxed geometry, with properties calculated at the PBE-GGA level.

Lattice parameters (Å, degrees): 5.2792 5.2792 5.2792 60.00 60.00 60.00
Last column: nearest neighbours and their distance in Å.
Positions (direct):
Sc 0.0000 0.0000 0.0000  12 Pt 3.10, 4 Cr 3.23
Cr 0.7500 0.7500 0.7500  12 Pt 3.09, 4 Sc 3.23
Pt 0.3753 0.3753 0.3753  6 Pt 2.63-2.65
Pt 0.3753 0.3753 0.8740  6 Pt 2.63-2.65
Pt 0.3753 0.8740 0.3753  6 Pt 2.63-2.65
Pt 0.8740 0.3753 0.3753  6 Pt 2.63-2.65

Results
- Magnetization: 4.43 Bohr magnetons per cell
- Energy relative to the elements: -0.498 eV/atom
- Space group: No. 216

***

| no. | DOS at the Fermi energy (states/eV per cell) |
| --- | --- |
| 1 | 5.399 |
| 2 | 1.287 |
| 3 | 10.132 |
| 4 | 4.825 |
| 5 | 8.716 |
| 6 | 2.037 |
| 7 | 4.643 |
| 8 | 4.923 |
| 9 | 3.433 |
| 10 | 3.197 |
| 11 | 1.512 |
| 12 | 6.050 |